DFT (SCAN) results for Cu2SiAu at its PBEsol-relaxed geometry.

Results
M_tot ... 0.000 μB/atom
Formation energy from raw total energies ... -32 meV/atom
Calculated total energy ... -27.425 eV per atom
Crystal system ... tetragonal

Cell: 3.709 3.709 4.641 Å, 113.56 113.56 90.00°
Sites, in units of the cell vectors:
Si 0.500 0.500 0.000
Au 0.000 0.000 0.000
Cu 0.750 0.250 0.500
Cu 0.250 0.750 0.500